## a
DFT (GGA+U) results for a relaxed structure of CrAuNF2.

a b c (Å): 4.645 4.645 3.784
angles (deg): 90.00 90.00 90.00
Space group P4/mmm (No. 123)
Inequivalent atoms, fractional coordinates:
Cr1 0.000 0.000 0.000
Au1 0.500 0.500 0.500
N1 0.500 0.500 0.000
F1 0.000 0.500 0.500

## b
DFT (GGA+U) results for a relaxed structure of CrAuNF2.

a b c (Å): 3.824 3.824 4.294
angles (deg): 90.00 90.00 90.00
Space group P4/mmm (No. 123)
Inequivalent atoms, fractional coordinates:
Cr1 0.000 0.000 0.000
Au1 0.500 0.500 0.500
N1 0.000 0.000 0.500
F1 0.000 0.500 0.000

Least stable: a

## a
DFT (GGA+U) results for a relaxed structure of CrAuOF2.

a b c (Å): 4.429 4.429 4.060
angles (deg): 90.00 90.00 90.00
Space group P4/mmm (No. 123)
Inequivalent atoms, fractional coordinates:
Cr1 0.000 0.000 0.000
Au1 0.500 0.500 0.500
O1 0.500 0.500 0.000
F1 0.000 0.500 0.500

## b
DFT (GGA+U) results for a relaxed structure of CrAuOF2.

a b c (Å): 3.962 3.962 4.000
angles (deg): 90.00 90.00 90.00
Space group P4/mmm (No. 123)
Inequivalent atoms, fractional coordinates:
Cr1 0.000 0.000 0.000
Au1 0.500 0.500 0.500
O1 0.000 0.000 0.500
F1 0.000 0.500 0.000

Least stable: a